Entry 1
The following is a DFT calculation (GGA-PBE) of an optimized crystal structure of CdBi2As.

Results
Symmetry = I-42d (122)
Size of the total moment = 0.0 μB per cell

abc: 6.662 6.662 8.268
angles: 66.24 66.24 90.00
Fractional coordinates of all 8 atoms:
Bi1 0.138 0.625 0.250
Bi2 0.875 0.862 0.750
Bi3 0.612 0.125 0.250
Bi4 0.375 0.388 0.750
As1 0.500 0.500 0.000
As2 0.250 0.750 0.500
Cd1 0.750 0.250 0.500
Cd2 0.000 0.000 0.000

***

Entry 2
The following is a DFT calculation (GGA-PBE) of an optimized crystal structure of CdBi2As.

Results
Symmetry = R-3m (166)
Size of the total moment = 0.0 μB per cell

abc: 3.876 3.876 10.235
angles: 79.08 79.08 60.00
Fractional coordinates of all 4 atoms:
Bi1 0.103 0.103 0.691
Bi2 0.897 0.897 0.309
Cd1 0.000 0.000 0.000
As1 0.500 0.500 0.500

***

Most stable to least stable, the ends of the list are entry 1 and entry 2.